[1]
An optimized crystal structure of LaSc2P. Source: the Alexandria database, functional PBE.

a = 6.2611 Å, b = 6.2611 Å, c = 6.2611 Å
α = 146.26°, β = 135.69°, γ = 56.83°
Element x y z (fractional)
Sc1 0.0591 0.0591 0.0000
La1 0.4555 0.4555 0.0000
P1 0.2308 0.7308 0.5000
Sc2 0.7546 0.2546 0.5000

Values from the calculation:
Spin magnetization: 0.0 μB/cell
Volume: 23.62 A^3/atom
Energy of formation: -1.9 eV per formula unit

***

[2]
An optimized crystal structure of LaSc2P. Source: the Alexandria database, functional PBE.

a = 6.1882 Å, b = 6.1882 Å, c = 6.1882 Å
α = 147.48°, β = 129.60°, γ = 61.27°
Element x y z (fractional)
La1 0.0000 0.5000 0.5000
P1 0.5000 0.0000 0.5000
Sc1 0.6893 0.6893 0.0000
Sc2 0.3107 0.3107 0.0000

Values from the calculation:
Spin magnetization: 0.0 μB/cell
Volume: 24.30 A^3/atom
Energy of formation: -2.5 eV per formula unit

***

[3]
An optimized crystal structure of LaSc2P. Source: the Alexandria database, functional PBE.

a = 3.5595 Å, b = 5.9352 Å, c = 5.9110 Å
α = 60.20°, β = 90.00°, γ = 90.00°
Element x y z (fractional)
La1 0.5000 0.5000 0.5000
Sc1 0.0000 0.8520 0.8238
Sc2 0.0000 0.1480 0.1762
P1 0.5000 0.5000 0.0000

Values from the calculation:
Spin magnetization: 0.0 μB/cell
Volume: 27.09 A^3/atom
Energy of formation: -2.3 eV per formula unit

***

[4]
An optimized crystal structure of La5ScP3. Source: the Alexandria database, functional PBE.

a = 9.1096 Å, b = 9.1096 Å, c = 6.3645 Å
α = 90.00°, β = 90.00°, γ = 120.00°
Element x y z (fractional)
La1 0.0000 0.6857 0.7500
P1 0.3470 0.3470 0.2500
La2 0.3143 0.3143 0.7500
La3 0.6857 0.6857 0.2500
P2 0.6530 0.6530 0.7500
P3 0.3470 0.0000 0.7500
La4 0.6667 0.3333 0.0000
Sc1 0.0000 0.0000 0.0000
La5 0.6857 0.0000 0.7500
Sc2 0.0000 0.0000 0.5000
P4 0.0000 0.6530 0.2500
La6 0.3333 0.6667 0.5000
La7 0.6667 0.3333 0.5000
La8 0.3143 0.0000 0.2500
P5 0.6530 0.0000 0.2500
La9 0.3333 0.6667 0.0000
La10 0.0000 0.3143 0.2500
P6 0.0000 0.3470 0.7500

Values from the calculation:
Spin magnetization: 0.9 μB/cell
Volume: 25.41 A^3/atom
Energy of formation: -6.4 eV per formula unit

***

Question: What is the formula in the first record?
Answer: LaSc2P

***

Question: The lowest volume belongs to which entry?
Answer: number 1

***

Question: energy of formation of number 4 (La5ScP3)?
Answer: -6.4 eV per formula unit